# 1
# ZrRhI2O

ZrRhI2O after structural relaxation (GGA-PBE, the Alexandria database).

Cell lengths 5.7855, 5.7855, 3.9681 Å; angles 90.00, 90.00, 90.00 degrees
Fractional coordinates of all 5 atoms:
Zr: 0.0000 0.0000 0.0000
Rh: 0.5000 0.5000 0.5000
I: 0.0000 0.5000 0.0000
I: 0.5000 0.0000 0.0000
O: 0.0000 0.0000 0.5000

The total energy comes out at -26.3 eV for the cell shown. The value obtained for the formation energy without anion corrections is -0.464 eV per atom. Its space group is P4/mmm (123). The calculation puts the excess energy over the best structure of this formula in the dataset at 0 meV per atom.

=====

# 2
# RuI2O2

RuI2O2 after structural relaxation (GGA-PBE, the Alexandria database).

Cell lengths 5.4333, 5.4333, 3.6774 Å; angles 90.00, 90.00, 90.00 degrees
Fractional coordinates of all 5 atoms:
Ru: 0.0000 0.0000 0.0000
I: 0.0000 0.5000 0.0000
I: 0.5000 0.0000 0.0000
O: 0.0000 0.0000 0.5000
O: 0.5000 0.5000 0.5000

The total energy comes out at -20.2 eV for the cell shown. The value obtained for the formation energy without anion corrections is 0.417 eV per atom. Its space group is P4/mmm (123). The calculation puts the excess energy over the best structure of this formula in the dataset at 278 meV per atom.

=====

# 3
# RuI2O2

RuI2O2 after structural relaxation (GGA-PBE, the Alexandria database).

Cell lengths 4.8980, 4.8980, 3.5052 Å; angles 90.00, 90.00, 90.00 degrees
Fractional coordinates of all 5 atoms:
Ru: 0.0000 0.0000 0.0000
I: 0.0000 0.5000 0.5000
I: 0.5000 0.0000 0.5000
O: 0.5000 0.5000 0.0000
O: 0.5000 0.5000 0.5000

The total energy comes out at -16.7 eV for the cell shown. The value obtained for the formation energy without anion corrections is 1.122 eV per atom. Its space group is P4/mmm (123). The calculation puts the excess energy over the best structure of this formula in the dataset at 983 meV per atom.

=====

# 4
# RuI2O2

RuI2O2 after structural relaxation (GGA-PBE, the Alexandria database).

Cell lengths 4.0743, 4.0743, 5.9656 Å; angles 90.00, 90.00, 90.00 degrees
Fractional coordinates of all 5 atoms:
Ru: 0.0000 0.0000 0.0000
I: 0.0000 0.0000 0.5000
I: 0.5000 0.5000 0.5000
O: 0.0000 0.5000 0.0000
O: 0.5000 0.0000 0.0000

The total energy comes out at -21.6 eV for the cell shown. The value obtained for the formation energy without anion corrections is 0.139 eV per atom. Its space group is P4/mmm (123). The calculation puts the excess energy over the best structure of this formula in the dataset at 0 meV per atom.

=====

# 5
# RuI2O

RuI2O after structural relaxation (GGA-PBE, the Alexandria database).

Cell lengths 6.9869, 6.9869, 6.9869 Å; angles 129.07, 129.07, 74.89 degrees
Fractional coordinates of all 8 atoms:
Ru: 0.0000 0.0000 0.0000
Ru: 0.7500 0.2500 0.5000
I: 0.1243 0.6250 0.9993
I: 0.3750 0.3743 0.4993
I: 0.6257 0.1250 0.0007
I: 0.8750 0.8757 0.5007
O: 0.2500 0.7500 0.5000
O: 0.5000 0.5000 0.0000

The total energy comes out at -30.0 eV for the cell shown. The value obtained for the formation energy without anion corrections is 0.590 eV per atom. Its space group is I-42d (122).

=====

# 6
# RuI2O

RuI2O after structural relaxation (GGA-PBE, the Alexandria database).

Cell lengths 4.6366, 4.6366, 4.6366 Å; angles 60.00, 60.00, 60.00 degrees
Fractional coordinates of all 4 atoms:
Ru: 0.0000 0.0000 0.0000
I: 0.2500 0.2500 0.2500
I: 0.7500 0.7500 0.7500
O: 0.5000 0.5000 0.5000

The total energy comes out at -14.3 eV for the cell shown. The value obtained for the formation energy without anion corrections is 0.757 eV per atom. Its space group is Fm-3m (225).

=====

# 7
# RuI3O

RuI3O after structural relaxation (GGA-PBE, the Alexandria database).

Cell lengths 5.0742, 5.0742, 5.0742 Å; angles 90.00, 90.00, 90.00 degrees
Fractional coordinates of all 5 atoms:
Ru: 0.0000 0.0000 0.0000
I: 0.0000 0.5000 0.5000
I: 0.5000 0.0000 0.5000
I: 0.5000 0.5000 0.0000
O: 0.5000 0.5000 0.5000

The total energy comes out at -13.3 eV for the cell shown. The value obtained for the formation energy without anion corrections is 1.110 eV per atom. Its space group is Pm-3m (221). The calculation puts the excess energy over the best structure of this formula in the dataset at 135 meV per atom.

=====

# 8
# RuI2O2

RuI2O2 after structural relaxation (GGA-PBE, the Alexandria database).

Cell lengths 4.0191, 4.0191, 8.0462 Å; angles 90.00, 90.00, 90.00 degrees
Fractional coordinates of all 5 atoms:
Ru: 0.0000 0.0000 0.0000
I: 0.5000 0.5000 0.0000
I: 0.5000 0.5000 0.5000
O: 0.0000 0.5000 0.5000
O: 0.5000 0.0000 0.5000

The total energy comes out at -19.2 eV for the cell shown. The value obtained for the formation energy without anion corrections is 0.618 eV per atom. Its space group is P4/mmm (123). The calculation puts the excess energy over the best structure of this formula in the dataset at 480 meV per atom.

=====

# 9
# RuI3O

RuI3O after structural relaxation (GGA-PBE, the Alexandria database).

Cell lengths 5.3424, 5.3424, 5.3424 Å; angles 90.00, 90.00, 90.00 degrees
Fractional coordinates of all 5 atoms:
Ru: 0.0000 0.0000 0.0000
I: 0.0000 0.0000 0.5000
I: 0.0000 0.5000 0.0000
I: 0.5000 0.0000 0.0000
O: 0.5000 0.5000 0.5000

The total energy comes out at -14.0 eV for the cell shown. The value obtained for the formation energy without anion corrections is 0.975 eV per atom. Its space group is Pm-3m (221). The calculation puts the excess energy over the best structure of this formula in the dataset at 0 meV per atom.

=====

# 10
# RuIO6

RuIO6 after structural relaxation (GGA-PBE, the Alexandria database).

Cell lengths 5.4570, 5.4570, 4.8655 Å; angles 96.28, 96.28, 127.03 degrees
Fractional coordinates of all 8 atoms:
Ru: 0.0000 0.0000 0.0000
I: 0.5000 0.5000 0.5000
O: 0.1271 0.3877 0.2560
O: 0.2421 0.2421 0.7548
O: 0.3877 0.1271 0.2560
O: 0.6123 0.8729 0.7440
O: 0.7579 0.7579 0.2452
O: 0.8729 0.6123 0.7440

The total energy comes out at -43.2 eV for the cell shown. The value obtained for the formation energy without anion corrections is -0.323 eV per atom. Its space group is C2/m (12).

=====

# 11
# ScRuIO2

ScRuIO2 after structural relaxation (GGA-PBE, the Alexandria database).

Cell lengths 4.0051, 4.0051, 6.2472 Å; angles 90.00, 90.00, 90.00 degrees
Fractional coordinates of all 5 atoms:
Sc: 0.0000 0.0000 0.0000
Ru: 0.5000 0.5000 0.5000
I: 0.0000 0.0000 0.5000
O: 0.0000 0.5000 0.0000
O: 0.5000 0.0000 0.0000

The total energy comes out at -30.5 eV for the cell shown. The value obtained for the formation energy without anion corrections is -0.676 eV per atom. Its space group is P4/mmm (123). The calculation puts the excess energy over the best structure of this formula in the dataset at 0 meV per atom.

=====

# 12
# ScRuIO2

ScRuIO2 after structural relaxation (GGA-PBE, the Alexandria database).

Cell lengths 3.9633, 3.9633, 5.5726 Å; angles 90.00, 90.00, 90.00 degrees
Fractional coordinates of all 5 atoms:
Sc: 0.0000 0.0000 0.0000
Ru: 0.5000 0.5000 0.5000
I: 0.5000 0.5000 0.0000
O: 0.0000 0.5000 0.5000
O: 0.5000 0.0000 0.5000

The total energy comes out at -29.0 eV for the cell shown. The value obtained for the formation energy without anion corrections is -0.391 eV per atom. Its space group is P4/mmm (123). The calculation puts the excess energy over the best structure of this formula in the dataset at 285 meV per atom.

=====

# 13
# RuSeIO2

RuSeIO2 after structural relaxation (GGA-PBE, the Alexandria database).

Cell lengths 3.8766, 3.8766, 6.1318 Å; angles 90.00, 90.00, 90.00 degrees
Fractional coordinates of all 5 atoms:
Ru: 0.0000 0.0000 0.0000
Se: 0.5000 0.5000 0.5000
I: 0.0000 0.0000 0.5000
O: 0.0000 0.5000 0.0000
O: 0.5000 0.0000 0.0000

The total energy comes out at -24.7 eV for the cell shown. The value obtained for the formation energy without anion corrections is -0.088 eV per atom. Its space group is P4/mmm (123). The calculation puts the excess energy over the best structure of this formula in the dataset at 0 meV per atom.

=====

# 14
# RuSeIO2

RuSeIO2 after structural relaxation (GGA-PBE, the Alexandria database).

Cell lengths 3.8242, 3.8242, 6.8879 Å; angles 90.00, 90.00, 90.00 degrees
Fractional coordinates of all 5 atoms:
Ru: 0.0000 0.0000 0.0000
Se: 0.5000 0.5000 0.5000
I: 0.5000 0.5000 0.0000
O: 0.0000 0.5000 0.5000
O: 0.5000 0.0000 0.5000

The total energy comes out at -21.6 eV for the cell shown. The value obtained for the formation energy without anion corrections is 0.528 eV per atom. Its space group is P4/mmm (123). The calculation puts the excess energy over the best structure of this formula in the dataset at 616 meV per atom.

=====

# 15
# SiRuIO2

SiRuIO2 after structural relaxation (GGA-PBE, the Alexandria database).

Cell lengths 3.5359, 3.5359, 7.2865 Å; angles 90.00, 90.00, 90.00 degrees
Fractional coordinates of all 5 atoms:
Si: 0.0000 0.0000 0.0000
Ru: 0.5000 0.5000 0.5000
I: 0.0000 0.0000 0.5000
O: 0.0000 0.5000 0.0000
O: 0.5000 0.0000 0.0000

The total energy comes out at -27.4 eV for the cell shown. The value obtained for the formation energy without anion corrections is -0.249 eV per atom. Its space group is P4/mmm (123). The calculation puts the excess energy over the best structure of this formula in the dataset at 0 meV per atom.

=====

# 16
# SiRuIO2

SiRuIO2 after structural relaxation (GGA-PBE, the Alexandria database).

Cell lengths 3.8027, 3.8027, 8.0147 Å; angles 90.00, 90.00, 90.00 degrees
Fractional coordinates of all 5 atoms:
Si: 0.0000 0.0000 0.0000
Ru: 0.5000 0.5000 0.5000
I: 0.5000 0.5000 0.0000
O: 0.0000 0.5000 0.5000
O: 0.5000 0.0000 0.5000

The total energy comes out at -25.7 eV for the cell shown. The value obtained for the formation energy without anion corrections is 0.084 eV per atom. Its space group is P4/mmm (123). The calculation puts the excess energy over the best structure of this formula in the dataset at 333 meV per atom.

=====

# 17
# SnRuIO2

SnRuIO2 after structural relaxation (GGA-PBE, the Alexandria database).

Cell lengths 4.0059, 4.0059, 6.2108 Å; angles 90.00, 90.00, 90.00 degrees
Fractional coordinates of all 5 atoms:
Sn: 0.0000 0.0000 0.0000
Ru: 0.5000 0.5000 0.5000
I: 0.0000 0.0000 0.5000
O: 0.0000 0.5000 0.0000
O: 0.5000 0.0000 0.0000

The total energy comes out at -24.2 eV for the cell shown. The value obtained for the formation energy without anion corrections is 0.116 eV per atom. Its space group is P4/mmm (123). The calculation puts the excess energy over the best structure of this formula in the dataset at 117 meV per atom.

=====

# 18
# SnRuIO2

SnRuIO2 after structural relaxation (GGA-PBE, the Alexandria database).

Cell lengths 3.9979, 3.9979, 6.3649 Å; angles 90.00, 90.00, 90.00 degrees
Fractional coordinates of all 5 atoms:
Sn: 0.0000 0.0000 0.0000
Ru: 0.5000 0.5000 0.0000
I: 0.0000 0.0000 0.5000
O: 0.0000 0.5000 0.5000
O: 0.5000 0.0000 0.5000

The total energy comes out at -21.9 eV for the cell shown. The value obtained for the formation energy without anion corrections is 0.562 eV per atom. Its space group is P4/mmm (123). The calculation puts the excess energy over the best structure of this formula in the dataset at 563 meV per atom.

=====

# 19
# SnRuIO2

SnRuIO2 after structural relaxation (GGA-PBE, the Alexandria database).

Cell lengths 4.1349, 4.1349, 5.4458 Å; angles 90.00, 90.00, 90.00 degrees
Fractional coordinates of all 5 atoms:
Sn: 0.0000 0.0000 0.0000
Ru: 0.5000 0.5000 0.5000
I: 0.5000 0.5000 0.0000
O: 0.0000 0.5000 0.5000
O: 0.5000 0.0000 0.5000

The total energy comes out at -24.8 eV for the cell shown. The value obtained for the formation energy without anion corrections is -0.002 eV per atom. Its space group is P4/mmm (123). The calculation puts the excess energy over the best structure of this formula in the dataset at 0 meV per atom.

=====

# 20
# SrRuIO2

SrRuIO2 after structural relaxation (GGA-PBE, the Alexandria database).

Cell lengths 4.2608, 4.2608, 5.3343 Å; angles 90.00, 90.00, 90.00 degrees
Fractional coordinates of all 5 atoms:
Sr: 0.0000 0.0000 0.0000
Ru: 0.5000 0.5000 0.5000
I: 0.5000 0.5000 0.0000
O: 0.0000 0.5000 0.5000
O: 0.5000 0.0000 0.5000

The total energy comes out at -26.0 eV for the cell shown. The value obtained for the formation energy without anion corrections is -0.723 eV per atom. Its space group is P4/mmm (123). The calculation puts the excess energy over the best structure of this formula in the dataset at 0 meV per atom.